No. 1
Density functional theory data (PBE) for a relaxed structure of BeCdTeN2.

## Properties
The space-group type is P4/mmm, No. 123. Its energy relative to the elements, uncorrected is 1.5427 eV/atom. As for the energy above the most stable polymorph in this dataset: 0.276 eV per atom. As for the calculated volume: 81.1 Å³/f.u.

a = 4.231 Å, b = 4.530 Å, c = 4.231 Å
α = 90.00°, β = 90.00°, γ = 90.00°
Atoms (fractional coordinates):
Be  0.000  0.500  0.000
N  0.000  0.000  0.500
N  0.500  0.000  0.000
Te  0.000  0.000  0.000
Cd  0.500  0.500  0.500

No. 2
Density functional theory data (PBE) for a relaxed structure of AcLa2TbPr2.

## Properties
The space-group type is Pmma, No. 51. As for the calculated volume: 222.2 Å³/f.u. The total energy is -4.648 eV per atom.

a = 5.895 Å, b = 7.370 Å, c = 10.227 Å
α = 90.00°, β = 90.00°, γ = 90.00°
Atoms (fractional coordinates):
Ac  0.000  0.007  0.500
Ac  0.000  0.507  0.500
La  0.500  0.008  0.000
La  0.000  0.258  0.166
La  0.500  0.508  0.000
La  0.000  0.758  0.834
Tb  0.500  0.257  0.667
Tb  0.500  0.757  0.333
Pr  0.000  0.258  0.836
Pr  0.500  0.257  0.330
Pr  0.000  0.758  0.164
Pr  0.500  0.757  0.670

No. 3
Density functional theory data (PBE) for a relaxed structure of KTaNi.

## Properties
The space-group type is I4mm, No. 107. As for the energy above the most stable polymorph in this dataset: 0.134 eV per atom. As for the calculated volume: 74.4 Å³/f.u.

a = 7.854 Å, b = 7.855 Å, c = 7.855 Å
α = 156.92°, β = 156.91°, γ = 32.88°
Atoms (fractional coordinates):
K  0.011  0.011  0.000
Ni  0.208  0.208  0.000
Ta  0.781  0.781  0.000

No. 4
Density functional theory data (PBE) for a relaxed structure of ZnHgF2.

## Properties
The space-group type is I-42d, No. 122. Its energy relative to the elements, uncorrected is -1.5671 eV/atom. As for the energy above the most stable polymorph in this dataset: 0.089 eV per atom. As for the calculated volume: 76.0 Å³/f.u.

a = 5.650 Å, b = 5.650 Å, c = 6.216 Å
α = 62.97°, β = 62.97°, γ = 90.00°
Atoms (fractional coordinates):
Zn  0.500  0.500  0.000
Zn  0.250  0.750  0.500
Hg  0.000  0.000  0.000
Hg  0.750  0.250  0.500
F  0.452  0.125  0.250
F  0.298  0.625  0.250
F  0.375  0.548  0.750
F  0.875  0.702  0.750

No. 5
Density functional theory data (PBE) for a relaxed structure of NaCoAs.

## Properties
The space-group type is I4/mmm, No. 139. As for the calculated volume: 52.6 Å³/f.u. The total energy is -4.583 eV per atom.

a = 3.812 Å, b = 3.812 Å, c = 7.720 Å
α = 75.73°, β = 75.71°, γ = 90.00°
Last column: magnetic moment on the atom in μB.
Atoms (fractional coordinates):
Na  0.112  0.759  0.095  0.00
Na  0.766  0.414  0.786  0.00
As  0.338  0.986  0.642  0.00
As  0.540  0.187  0.239  0.00
Co  0.939  0.086  0.441  0.23
Co  0.439  0.586  0.441  0.23

No. 6
Density functional theory data (PBE) for a relaxed structure of RbPmH.

## Properties
The space-group type is Amm2, No. 38. As for the calculated volume: 87.8 Å³/f.u. The total energy is -2.881 eV per atom.

a = 3.726 Å, b = 3.725 Å, c = 14.603 Å
α = 90.00°, β = 90.00°, γ = 120.01°
Atoms (fractional coordinates):
H  0.612  0.224  0.000
H  0.276  0.553  0.500
Rb  0.610  0.220  0.372
Rb  0.610  0.220  0.628
Pm  0.279  0.558  0.890
Pm  0.279  0.558  0.110

What did the third record say?
Density functional theory data (PBE) for a relaxed structure of KTaNi.

## Properties
The space-group type is I4mm, No. 107. As for the energy above the most stable polymorph in this dataset: 0.134 eV per atom. As for the calculated volume: 74.4 Å³/f.u.

a = 7.854 Å, b = 7.855 Å, c = 7.855 Å
α = 156.92°, β = 156.91°, γ = 32.88°
Atoms (fractional coordinates):
K  0.011  0.011  0.000
Ni  0.208  0.208  0.000
Ta  0.781  0.781  0.000

> Which value of calculated volume does entry 2 give?

222.2 Å³/f.u.

Repeat the fourth record exactly.
Density functional theory data (PBE) for a relaxed structure of ZnHgF2.

## Properties
The space-group type is I-42d, No. 122. Its energy relative to the elements, uncorrected is -1.5671 eV/atom. As for the energy above the most stable polymorph in this dataset: 0.089 eV per atom. As for the calculated volume: 76.0 Å³/f.u.

a = 5.650 Å, b = 5.650 Å, c = 6.216 Å
α = 62.97°, β = 62.97°, γ = 90.00°
Atoms (fractional coordinates):
Zn  0.500  0.500  0.000
Zn  0.250  0.750  0.500
Hg  0.000  0.000  0.000
Hg  0.750  0.250  0.500
F  0.452  0.125  0.250
F  0.298  0.625  0.250
F  0.375  0.548  0.750
F  0.875  0.702  0.750